The following is a GGA-PBE calculation of Pd5Pt2Au4 after structural relaxation, from the Alexandria database.

Calculated values
The value obtained for the energy is -49.5 eV for the cell shown. The calculation puts the energy of formation at 0.148 eV/atom.

a b c (Å): 4.762 6.423 7.207
angles (deg): 95.13 106.72 106.47
Fractional coordinates of all 11 atoms:
1 Pd 0.000 0.000 0.000
2 Pd 0.301 0.606 0.537
3 Pd 0.372 0.771 0.914
4 Pd 0.628 0.229 0.086
5 Pd 0.699 0.394 0.463
6 Pt 0.076 0.157 0.392
7 Pt 0.924 0.843 0.608
8 Au 0.246 0.460 0.141
9 Au 0.452 0.911 0.304
10 Au 0.548 0.089 0.696
11 Au 0.754 0.540 0.859